CeIn2CoBi | PBE | optimized geometry

a = 4.849 Å, b = 5.040 Å, c = 5.040 Å
α = 90.00°, β = 90.00°, γ = 90.00°
Atoms (fractional coordinates):
1 Bi 0.500 0.500 0.500
2 Ce 0.500 0.000 0.000
3 In 0.000 0.000 0.500
4 In 0.000 0.500 0.000
5 Co 0.000 0.000 0.000

Calculated values
As for the formation enthalpy at 0 K: -2.05 eV per formula unit. The value obtained for the total energy is -4.8900 eV/atom. Its space group is P4/mmm, No. 123. The crystal system is tetragonal.